Version A
A plane-wave DFT calculation with GGA-PBEsol was carried out for a relaxed KVPO5 crystal.

Values from the calculation:
Spin magnetization   1.00 μB/f.u.

POSCAR file:
```
KVPO5
1.0
7.311 0.000 0.000
0.000 7.648 0.000
0.000 0.000 8.380
K V P O
4 4 4 20
Direct
0.385 0.537 0.759
0.615 0.037 0.741
0.115 0.463 0.259
0.885 0.963 0.241
0.383 0.946 0.115
0.883 0.554 0.885
0.117 0.054 0.615
0.617 0.446 0.385
0.121 0.186 0.903
0.379 0.814 0.403
0.621 0.314 0.097
0.879 0.686 0.597
0.177 0.095 0.060
0.437 0.627 0.445
0.533 0.914 0.311
0.418 0.807 0.975
0.918 0.693 0.025
0.224 0.822 0.275
0.467 0.414 0.189
0.323 0.905 0.560
0.033 0.586 0.689
0.082 0.193 0.475
0.063 0.373 0.945
0.937 0.873 0.555
0.276 0.178 0.775
0.582 0.307 0.525
0.724 0.678 0.725
0.677 0.405 0.940
0.967 0.086 0.811
0.776 0.322 0.225
0.823 0.595 0.440
0.563 0.127 0.055
```

Version B
A plane-wave DFT calculation with GGA-PBEsol was carried out for a relaxed KVPO5 crystal.

Values from the calculation:
Spin magnetization   1.00 μB/f.u.

POSCAR file:
```
KVPO5
1.0
-0.185 -6.276 -0.925
4.032 1.287 -9.534
11.698 -1.053 4.805
K V P O
8 8 8 40
Direct
0.219 0.815 0.622
0.719 0.315 0.878
0.281 0.815 0.122
0.700 0.069 0.106
0.200 0.569 0.394
0.300 0.569 0.894
0.800 0.069 0.606
0.781 0.315 0.378
0.500 0.013 0.370
0.500 0.513 0.630
0.000 0.013 0.870
0.257 0.261 0.246
0.743 0.761 0.754
0.243 0.261 0.746
0.757 0.761 0.254
0.000 0.513 0.130
0.004 0.015 0.320
0.996 0.515 0.680
0.496 0.015 0.820
0.504 0.515 0.180
0.837 0.765 0.002
0.163 0.265 0.998
0.663 0.765 0.502
0.337 0.265 0.498
0.557 0.889 0.282
0.443 0.389 0.718
0.943 0.889 0.782
0.057 0.389 0.218
0.949 0.637 0.221
0.051 0.137 0.779
0.551 0.637 0.721
0.449 0.137 0.279
0.968 0.898 0.247
0.032 0.398 0.753
0.532 0.898 0.747
0.468 0.398 0.253
0.034 0.131 0.245
0.966 0.631 0.755
0.466 0.131 0.745
0.690 0.741 0.906
0.534 0.631 0.255
0.804 0.489 0.609
0.304 0.989 0.891
0.696 0.489 0.109
0.811 0.044 0.390
0.189 0.544 0.610
0.689 0.044 0.890
0.311 0.544 0.110
0.489 0.151 0.485
0.511 0.651 0.515
0.011 0.151 0.985
0.989 0.651 0.015
0.470 0.388 0.510
0.530 0.888 0.490
0.030 0.388 0.010
0.970 0.888 0.990
0.195 0.284 0.400
0.805 0.784 0.600
0.305 0.284 0.900
0.695 0.784 0.100
0.190 0.241 0.594
0.810 0.741 0.406
0.310 0.241 0.094
0.196 0.989 0.391
```

What are the relative energies? In eV/atom: version A 0.040; version B 0.000.

Version A
A plane-wave DFT calculation with GGA-PBEsol was carried out for a relaxed K2SO4 crystal.

Values from the calculation:
Spin magnetization   0.00 μB/f.u.

POSCAR file:
```
K2SO4
1.0
-1.497 -2.535 -4.939
5.471 1.628 0.688
1.701 -7.026 3.092
K S O
4 2 8
Direct
0.690 0.310 0.750
0.310 0.690 0.250
0.000 0.000 0.500
0.000 0.000 0.000
0.348 0.652 0.750
0.652 0.348 0.250
0.261 0.738 0.904
0.739 0.262 0.096
0.738 0.261 0.404
0.262 0.739 0.596
0.230 0.357 0.750
0.770 0.643 0.250
0.357 0.230 0.250
0.643 0.770 0.750
```

Version B
A plane-wave DFT calculation with GGA-PBEsol was carried out for a relaxed K2SO4 crystal.

Values from the calculation:
Spin magnetization   0.00 μB/f.u.

POSCAR file:
```
K2SO4
1.0
-4.375 -2.054 3.100
4.674 -1.537 5.580
-1.571 9.130 3.830
K S O
8 4 16
Direct
0.250 0.492 0.798
0.750 0.508 0.202
0.250 0.992 0.702
0.750 0.008 0.298
0.750 0.829 0.913
0.250 0.171 0.087
0.750 0.329 0.587
0.250 0.671 0.413
0.750 0.269 0.920
0.250 0.731 0.080
0.750 0.769 0.580
0.250 0.231 0.420
0.038 0.799 0.151
0.538 0.201 0.849
0.462 0.299 0.349
0.962 0.701 0.651
0.962 0.201 0.849
0.462 0.799 0.151
0.538 0.701 0.651
0.038 0.299 0.349
0.750 0.197 0.059
0.250 0.803 0.941
0.750 0.697 0.441
0.250 0.303 0.559
0.250 0.032 0.420
0.750 0.968 0.580
0.250 0.532 0.080
0.750 0.468 0.920
```

What are the relative energies? In eV/atom: version A 0.016; version B 0.000.

Version A
A plane-wave DFT calculation with GGA-PBEsol was carried out for a relaxed K2Si4O9 crystal.

Values from the calculation:
Spin magnetization   0.12 μB/f.u.

POSCAR file:
```
K2Si4O9
1.0
-1.440 -3.401 -3.318
3.829 -6.102 4.304
-7.786 -4.731 8.177
K Si O
4 8 18
Direct
0.746 0.600 0.342
0.254 0.400 0.658
0.234 0.933 0.135
0.766 0.067 0.865
0.721 0.184 0.555
0.208 0.441 0.146
0.210 0.204 0.402
0.279 0.816 0.445
0.790 0.796 0.598
0.792 0.559 0.854
0.706 0.670 0.062
0.294 0.330 0.938
0.709 0.652 0.719
0.905 0.247 0.435
0.394 0.604 0.091
0.291 0.348 0.281
0.408 0.214 0.504
0.095 0.753 0.565
0.592 0.786 0.496
0.757 0.695 0.923
0.606 0.396 0.909
0.243 0.305 0.077
0.895 0.506 0.140
0.228 0.021 0.384
0.105 0.494 0.860
0.767 0.284 0.641
0.772 0.979 0.616
0.233 0.716 0.359
0.251 0.163 0.909
0.749 0.837 0.091
```

Version B
A plane-wave DFT calculation with GGA-PBEsol was carried out for a relaxed K2Si4O9 crystal.

Values from the calculation:
Spin magnetization   0.00 μB/f.u.

POSCAR file:
```
K2Si4O9
1.0
-2.930 3.432 -4.842
-3.599 -2.365 5.026
1.464 8.118 4.868
K Si O
4 8 18
Direct
0.667 0.333 0.943
0.333 0.667 0.443
0.333 0.667 0.057
0.667 0.333 0.557
0.000 0.000 0.000
0.000 0.000 0.500
0.636 0.870 0.750
0.234 0.364 0.750
0.130 0.766 0.750
0.364 0.130 0.250
0.766 0.636 0.250
0.870 0.234 0.250
0.511 0.582 0.750
0.071 0.489 0.750
0.418 0.929 0.750
0.489 0.418 0.250
0.929 0.511 0.250
0.582 0.071 0.250
0.769 0.981 0.894
0.212 0.231 0.894
0.019 0.788 0.894
0.231 0.019 0.394
0.788 0.769 0.394
0.981 0.212 0.394
0.231 0.019 0.106
0.788 0.769 0.106
0.981 0.212 0.106
0.769 0.981 0.606
0.212 0.231 0.606
0.019 0.788 0.606
```

What are the relative energies? In eV/atom: version A 0.010; version B 0.000.